! TbZnGaO4 | Alexandria | PBE | relaxed; values from VASP
! N(E_F) = 0.0 states/eV/cell
! E_tot = -6.298 eV per atom
! M_tot = 0.00 Bohr magnetons per cell
! Energy relative to the elements, uncorrected = -2.19 eV/atom
! Space group = Imma (74)
&SYSTEM
  ibrav = 0, nat = 14, ntyp = 4
/
ATOMIC_SPECIES
Tb 158.93 Tb.upf
Zn 65.41 Zn.upf
O 16.00 O.upf
Ga 69.72 Ga.upf
CELL_PARAMETERS angstrom
6.2008 0.0000 0.0000
3.1004 5.5109 -0.0537
3.1004 1.6277 5.2653
ATOMIC_POSITIONS angstrom
Tb 0.0000 0.0000 0.0000
Tb 3.1004 3.5693 2.6058
Zn 6.2008 3.4166 4.5328
Zn 6.2008 3.7219 0.6787
O 7.7889 4.6742 1.3739
O 3.1004 1.6050 1.4516
O 4.6126 2.4644 3.8376
O 4.6126 4.6742 1.3739
O 7.7889 2.4644 3.8376
O 9.3012 5.5336 3.7599
O 6.2008 5.4408 3.6922
O 6.2008 1.6977 1.5193
Ga 4.6506 0.8138 2.6326
Ga 1.5502 0.8138 2.6326

---

! GaTc2O8 | Alexandria | PBE | relaxed; values from VASP
! N(E_F) = 1.9 states/eV/cell
! E_tot = -7.050 eV per atom
! M_tot = 0.00 Bohr magnetons per cell
! Energy relative to the elements, uncorrected = -1.28 eV/atom
! Excess energy over the best structure of this formula in the dataset = 0 meV per atom
! Space group = C2/m (12)
&SYSTEM
  ibrav = 0, nat = 11, ntyp = 3
/
ATOMIC_SPECIES
Ga 69.72 Ga.upf
O 16.00 O.upf
Tc 98.00 Tc.upf
CELL_PARAMETERS angstrom
5.0800 0.2512 -0.6022
-0.8672 6.3591 -0.2089
0.2362 -0.0711 6.4166
ATOMIC_POSITIONS angstrom
Ga 0.0000 0.0000 0.0000
O 3.9874 1.8209 5.7873
O 1.0112 3.7728 3.4932
O 1.3287 1.1672 0.9115
O 1.2537 0.1022 4.5745
O 3.4378 2.7664 2.1124
O 0.4616 4.7183 -0.1818
O 3.1953 6.4370 1.0311
O 3.1203 5.3720 4.6940
Tc 1.3756 4.9947 4.6184
Tc 3.0734 1.5445 0.9871